# 1
Entry from Alexandria: a geometry-optimized ZrFe2Br structure (PBE).

abc: 3.5131 3.5131 5.8834
angles: 90.00 90.00 90.00
Element x y z (fractional)
Zr: 0.0000 0.0000 0.0000
Fe: 0.5000 0.5000 0.1920
Fe: 0.5000 0.5000 0.8079
Br: 0.0000 0.0000 0.5000

Computed properties:
Formation energy from raw total energies: 0.80 eV per formula unit
E_tot: -0.242 Ha/atom
Energy above the lowest structure with this stoichiometry: 192 meV/atom

# 2
Entry from Alexandria: a geometry-optimized PrFe12B6 structure (PBE).

abc: 6.0643 6.0643 6.0643
angles: 104.30 104.30 104.30
Element x y z (fractional)
Pr: 0.0000 0.0000 0.0000
Fe: 0.1310 0.5000 0.8690
Fe: 0.1310 0.8690 0.5000
Fe: 0.1879 0.4567 0.4567
Fe: 0.4567 0.1879 0.4567
Fe: 0.4567 0.4567 0.1879
Fe: 0.5000 0.1310 0.8690
Fe: 0.5000 0.8690 0.1310
Fe: 0.5433 0.5433 0.8121
Fe: 0.5433 0.8121 0.5433
Fe: 0.8121 0.5433 0.5433
Fe: 0.8690 0.1310 0.5000
Fe: 0.8690 0.5000 0.1310
B: 0.2305 0.2305 0.6853
B: 0.2305 0.6853 0.2305
B: 0.3147 0.7695 0.7695
B: 0.6853 0.2305 0.2305
B: 0.7695 0.3147 0.7695
B: 0.7695 0.7695 0.3147

Computed properties:
DFT formation energy: -0.2735 eV per atom
E_tot: -0.293 Ha/atom

# 3
Entry from Alexandria: a geometry-optimized TiSO5 structure (PBE).

abc: 11.2029 5.3053 6.6521
angles: 90.00 90.00 90.00
Element x y z (fractional)
Ti: 0.0566 0.2500 0.1567
Ti: 0.4434 0.7500 0.6567
Ti: 0.5566 0.2500 0.3433
Ti: 0.9434 0.7500 0.8433
S: 0.1551 0.7500 0.4766
S: 0.3449 0.2500 0.9766
S: 0.6551 0.7500 0.0234
S: 0.8449 0.2500 0.5234
O: 0.0000 0.0000 0.0000
O: 0.0000 0.5000 0.0000
O: 0.0901 0.7500 0.6718
O: 0.1272 0.5196 0.3641
O: 0.1272 0.9804 0.3641
O: 0.2152 0.2500 0.0243
O: 0.2848 0.7500 0.5243
O: 0.3728 0.0196 0.8641
O: 0.3728 0.4804 0.8641
O: 0.4099 0.2500 0.1718
O: 0.5000 0.0000 0.5000
O: 0.5000 0.5000 0.5000
O: 0.5901 0.7500 0.8282
O: 0.6272 0.5196 0.1359
O: 0.6272 0.9804 0.1359
O: 0.7152 0.2500 0.4757
O: 0.7848 0.7500 0.9757
O: 0.8728 0.0196 0.6359
O: 0.8728 0.4804 0.6359
O: 0.9099 0.2500 0.3282

Computed properties:
Formation energy from raw total energies: -14.28 eV per formula unit
E_tot: -0.268 Ha/atom
Energy above the lowest structure with this stoichiometry: 0 meV/atom

# 4
Entry from Alexandria: a geometry-optimized CsSr2LiIr structure (PBE).

abc: 5.9205 5.9205 5.6584
angles: 90.00 90.00 90.00
Element x y z (fractional)
Cs: 0.0000 0.0000 0.0000
Sr: 0.0000 0.5000 0.5000
Sr: 0.5000 0.0000 0.5000
Li: 0.5000 0.5000 0.0000
Ir: 0.5000 0.5000 0.5000

Computed properties:
DFT formation energy: 0.1438 eV per atom
E_tot: -0.105 Ha/atom

# 5
Entry from Alexandria: a geometry-optimized Cs2KTl6Pt structure (PBE).

abc: 7.8224 7.8224 7.3458
angles: 90.00 90.00 120.00
Element x y z (fractional)
Cs: 0.3333 0.6667 0.3600
Cs: 0.6667 0.3333 0.6400
K: 0.0000 0.0000 0.5000
Tl: 0.1946 0.3891 0.8533
Tl: 0.1946 0.8054 0.8533
Tl: 0.3891 0.1946 0.1467
Tl: 0.6109 0.8054 0.8533
Tl: 0.8054 0.1946 0.1467
Tl: 0.8054 0.6109 0.1467
Pt: 0.0000 0.0000 0.0000

Computed properties:
DFT formation energy: -0.0697 eV per atom
E_tot: -0.087 Ha/atom

# 6
Entry from Alexandria: a geometry-optimized CaAl2Cd structure (PBE).

abc: 5.9029 5.9029 6.9623
angles: 90.00 90.00 132.61
Element x y z (fractional)
Ca: 0.0899 0.9101 0.7500
Ca: 0.9101 0.0899 0.2500
Al: 0.3821 0.6179 0.5561
Al: 0.3821 0.6179 0.9439
Al: 0.6179 0.3821 0.0561
Al: 0.6179 0.3821 0.4439
Cd: 0.2053 0.7947 0.2500
Cd: 0.7947 0.2053 0.7500

Computed properties:
DFT formation energy: -0.2044 eV per atom
E_tot: -0.103 Ha/atom

# 7
Entry from Alexandria: a geometry-optimized Sc2SbAs2 structure (PBE).

abc: 7.6073 7.6073 3.6685
angles: 90.00 90.00 90.00
Element x y z (fractional)
Sc: 0.1517 0.3483 0.0000
Sc: 0.3483 0.8483 0.0000
Sc: 0.6517 0.1517 0.0000
Sc: 0.8483 0.6517 0.0000
Sb: 0.0000 0.0000 0.0000
Sb: 0.5000 0.5000 0.0000
As: 0.1540 0.6540 0.5000
As: 0.3460 0.1540 0.5000
As: 0.6540 0.8460 0.5000
As: 0.8460 0.3460 0.5000

Computed properties:
Formation energy from raw total energies: -3.74 eV per formula unit
E_tot: -0.219 Ha/atom
Energy above the lowest structure with this stoichiometry: 78 meV/atom

# 8
Entry from Alexandria: a geometry-optimized MgNpI5 structure (PBE).

abc: 8.3161 8.3161 11.6986
angles: 110.86 110.86 86.89
Element x y z (fractional)
Mg: 0.1313 0.8687 0.7500
Mg: 0.8687 0.1313 0.2500
Np: 0.0000 0.5000 0.0000
Np: 0.5000 0.0000 0.5000
I: 0.1614 0.1900 0.4698
I: 0.1794 0.5923 0.8362
I: 0.1900 0.1614 0.9698
I: 0.3211 0.6789 0.2500
I: 0.4077 0.8206 0.6638
I: 0.5923 0.1794 0.3362
I: 0.6789 0.3211 0.7500
I: 0.8100 0.8386 0.0302
I: 0.8206 0.4077 0.1638
I: 0.8386 0.8100 0.5302

Computed properties:
Formation energy from raw total energies: -6.11 eV per formula unit
E_tot: -0.149 Ha/atom

# 9
Entry from Alexandria: a geometry-optimized DyGa12Co6 structure (PBE).

abc: 6.9148 6.9148 6.9148
angles: 104.98 104.98 104.98
Element x y z (fractional)
Dy: 0.0000 0.0000 0.0000
Ga: 0.1170 0.5000 0.8830
Ga: 0.1170 0.8830 0.5000
Ga: 0.1468 0.4125 0.4125
Ga: 0.4125 0.1468 0.4125
Ga: 0.4125 0.4125 0.1468
Ga: 0.5000 0.1170 0.8830
Ga: 0.5000 0.8830 0.1170
Ga: 0.5875 0.5875 0.8532
Ga: 0.5875 0.8532 0.5875
Ga: 0.8532 0.5875 0.5875
Ga: 0.8830 0.1170 0.5000
Ga: 0.8830 0.5000 0.1170
Co: 0.2736 0.2736 0.6947
Co: 0.2736 0.6947 0.2736
Co: 0.3053 0.7264 0.7264
Co: 0.6947 0.2736 0.2736
Co: 0.7264 0.3053 0.7264
Co: 0.7264 0.7264 0.3053

Computed properties:
DFT formation energy: -0.2213 eV per atom
E_tot: -0.170 Ha/atom

# 10
Entry from Alexandria: a geometry-optimized NpCoNi4 structure (PBE).

abc: 4.8115 4.8115 4.8115
angles: 60.00 60.00 60.00
Element x y z (fractional)
Np: 0.0000 0.0000 0.0000
Co: 0.7500 0.7500 0.7500
Ni: 0.3757 0.3757 0.3757
Ni: 0.3757 0.3757 0.8728
Ni: 0.3757 0.8728 0.3757
Ni: 0.8728 0.3757 0.3757

Computed properties:
DFT formation energy: -0.0604 eV per atom
E_tot: -0.267 Ha/atom

# 11
Entry from Alexandria: a geometry-optimized MnCrBPdAu structure (PBE).

abc: 8.6577 8.6577 8.6577
angles: 162.02 162.02 25.53
Element x y z (fractional)
Mn: 0.0000 0.0000 0.0000
Cr: 0.8667 0.8667 0.0000
B: 0.4376 0.4376 0.0000
Pd: 0.6123 0.6123 0.0000
Au: 0.2438 0.2438 0.0000

Computed properties:
DFT formation energy: 0.0326 eV per atom
E_tot: -0.248 Ha/atom
Energy above the lowest structure with this stoichiometry: 24 meV/atom

# 12
Entry from Alexandria: a geometry-optimized MgBPd3 structure (PBE).

abc: 4.2837 4.2837 8.6264
angles: 90.00 90.00 120.00
Element x y z (fractional)
Mg: 0.3333 0.6667 0.2500
Mg: 0.6667 0.3333 0.7500
B: 0.0000 0.0000 0.0000
B: 0.0000 0.0000 0.5000
Pd: 0.0000 0.0000 0.2500
Pd: 0.0000 0.0000 0.7500
Pd: 0.3333 0.6667 0.5727
Pd: 0.3333 0.6667 0.9273
Pd: 0.6667 0.3333 0.0727
Pd: 0.6667 0.3333 0.4273

Computed properties:
DFT formation energy: -0.2442 eV per atom
E_tot: -0.184 Ha/atom
Energy above the lowest structure with this stoichiometry: 241 meV/atom

# 13
Entry from Alexandria: a geometry-optimized K2CaCrPb structure (PBE).

abc: 6.3275 6.3275 5.3840
angles: 90.00 90.00 90.00
Element x y z (fractional)
K: 0.0000 0.5000 0.0000
K: 0.5000 0.0000 0.0000
Ca: 0.0000 0.0000 0.5000
Cr: 0.5000 0.5000 0.0000
Pb: 0.5000 0.5000 0.5000

Computed properties:
DFT formation energy: 0.5121 eV per atom
E_tot: -0.110 Ha/atom
Energy above the lowest structure with this stoichiometry: 0 meV/atom

# 14
Entry from Alexandria: a geometry-optimized Tl2CdRe structure (PBE).

abc: 5.3768 5.3768 2.9802
angles: 90.00 90.00 90.00
Element x y z (fractional)
Tl: 0.0000 0.5000 0.0000
Tl: 0.5000 0.0000 0.0000
Cd: 0.0000 0.0000 0.5000
Re: 0.5000 0.5000 0.5000

Computed properties:
DFT formation energy: 0.9153 eV per atom
E_tot: -0.133 Ha/atom
Energy above the lowest structure with this stoichiometry: 264 meV/atom

# 15
Entry from Alexandria: a geometry-optimized LaFePS2 structure (PBE).

abc: 4.7636 4.7636 4.1562
angles: 90.00 90.00 90.00
Element x y z (fractional)
La: 0.0000 0.0000 0.0000
Fe: 0.5000 0.5000 0.5000
P: 0.5000 0.5000 0.0000
S: 0.0000 0.5000 0.5000
S: 0.5000 0.0000 0.5000

Computed properties:
Formation energy from raw total energies: -3.95 eV per formula unit
E_tot: -0.228 Ha/atom
Energy above the lowest structure with this stoichiometry: 0 meV/atom

# 16
Entry from Alexandria: a geometry-optimized Ba3CdPt structure (PBE).

abc: 4.5903 10.1050 10.1050
angles: 109.79 90.00 90.00
Element x y z (fractional)
Ba: 0.0000 0.1265 0.8735
Ba: 0.0000 0.2587 0.5118
Ba: 0.0000 0.5118 0.2587
Ba: 0.0000 0.8735 0.1265
Ba: 0.5000 0.5173 0.8681
Ba: 0.5000 0.8681 0.5173
Cd: 0.0000 0.6921 0.6921
Cd: 0.5000 0.1926 0.1926
Pt: 0.5000 0.1927 0.6926
Pt: 0.5000 0.6926 0.1927

Computed properties:
DFT formation energy: -0.4563 eV per atom
E_tot: -0.110 Ha/atom
Energy above the lowest structure with this stoichiometry: 0 meV/atom

# 17
Entry from Alexandria: a geometry-optimized PaTiGaO6 structure (PBE).

abc: 5.0987 5.0987 9.6423
angles: 90.00 90.00 120.00
Element x y z (fractional)
Pa: 0.0000 0.0000 0.0000
Pa: 0.0000 0.0000 0.5000
Ti: 0.3333 0.6667 0.2500
Ti: 0.6667 0.3333 0.7500
Ga: 0.3333 0.6667 0.7500
Ga: 0.6667 0.3333 0.2500
O: 0.0041 0.3506 0.1361
O: 0.0041 0.6535 0.3639
O: 0.3465 0.3506 0.3639
O: 0.3465 0.9959 0.1361
O: 0.3506 0.0041 0.6361
O: 0.3506 0.3465 0.8639
O: 0.6494 0.6535 0.1361
O: 0.6494 0.9959 0.3639
O: 0.6535 0.0041 0.8639
O: 0.6535 0.6494 0.6361
O: 0.9959 0.3465 0.6361
O: 0.9959 0.6494 0.8639

Computed properties:
Formation energy from raw total energies: -25.93 eV per formula unit
E_tot: -0.311 Ha/atom

# 18
Entry from Alexandria: a geometry-optimized RbSbRu2O8 structure (PBE).

abc: 5.1835 5.1835 7.4442
angles: 106.37 106.37 72.90
Element x y z (fractional)
Rb: 0.0000 0.0000 0.0000
Sb: 0.0000 0.0000 0.5000
Ru: 0.4540 0.4540 0.7700
Ru: 0.5460 0.5460 0.2300
O: 0.2014 0.7107 0.2843
O: 0.2511 0.2511 0.5419
O: 0.2893 0.7986 0.7157
O: 0.3466 0.3466 0.9445
O: 0.6534 0.6534 0.0555
O: 0.7107 0.2014 0.2843
O: 0.7489 0.7489 0.4581
O: 0.7986 0.2893 0.7157

Computed properties:
Formation energy from raw total energies: -11.92 eV per formula unit
E_tot: -0.230 Ha/atom

# 19
Entry from Alexandria: a geometry-optimized Ag5Sb structure (PBE).

abc: 6.7672 6.7672 4.1793
angles: 90.00 90.00 143.07
Element x y z (fractional)
Ag: 0.0000 0.0000 0.0000
Ag: 0.1693 0.8307 0.5000
Ag: 0.3290 0.6710 0.0000
Ag: 0.6710 0.3290 0.0000
Ag: 0.8307 0.1693 0.5000
Sb: 0.5000 0.5000 0.5000

Computed properties:
Formation energy from raw total energies: 0.18 eV per formula unit
E_tot: -0.111 Ha/atom
Energy above the lowest structure with this stoichiometry: 0 meV/atom

# 20
Entry from Alexandria: a geometry-optimized Ac2CdOs structure (PBE).

abc: 3.7124 3.7124 8.6238
angles: 90.00 90.00 90.00
Element x y z (fractional)
Ac: 0.0000 0.0000 0.2105
Ac: 0.0000 0.0000 0.7895
Cd: 0.5000 0.5000 0.5000
Os: 0.5000 0.5000 0.0000

Computed properties:
DFT formation energy: 0.0080 eV per atom
E_tot: -0.187 Ha/atom

# 21
Entry from Alexandria: a geometry-optimized BeFe structure (PBE).

abc: 4.3021 4.3021 4.3021
angles: 141.30 130.47 64.57
Element x y z (fractional)
Be: 0.3863 0.1363 0.2500
Be: 0.6137 0.8637 0.7500
Fe: 0.1309 0.3809 0.7500
Fe: 0.8691 0.6191 0.2500

Computed properties:
DFT formation energy: -0.1143 eV per atom
E_tot: -0.228 Ha/atom

# 22
Entry from Alexandria: a geometry-optimized Tb3ZnCd2 structure (PBE).

abc: 3.6523 3.6523 11.3811
angles: 90.00 90.00 90.00
Element x y z (fractional)
Tb: 0.0000 0.0000 0.0000
Tb: 0.0000 0.0000 0.3487
Tb: 0.0000 0.0000 0.6513
Zn: 0.5000 0.5000 0.5000
Cd: 0.5000 0.5000 0.1737
Cd: 0.5000 0.5000 0.8263

Computed properties:
DFT formation energy: -0.3244 eV per atom
E_tot: -0.116 Ha/atom
Energy above the lowest structure with this stoichiometry: 0 meV/atom